Ta2MnHg | Alexandria via LeMat-Bulk | GGA-PBEsol | optimized geometry; crystal system = tetragonal; uncorrected energy = -33.95 eV/cell
1.0
3.997 0.000 0.000
0.000 3.997 0.000
-1.998 -1.998 4.165
Mn Ta Hg
1 2 1
Cartesian
0.000 1.998 2.083
1.998 0.000 2.083
0.000 0.000 0.000
1.998 1.998 0.000